Record 1
# ErPuRu

A relaxed ErPuRu crystal (PBE, Alexandria).

Results
The value obtained for the energy above the most stable polymorph in this dataset is 0.117 eV per atom. The calculation puts the calculated formation energy at -0.0529 eV/atom.

Unit cell a=6.690 b=6.690 c=6.690 alpha=90.00 beta=90.00 gamma=90.00
Space group F-43m (No. 216)
Inequivalent atoms, fractional coordinates:
Er 0.000 0.000 0.000 [4 per cell]
Pu 0.000 0.000 0.500 [4 per cell]
Ru 0.250 0.250 0.250 [4 per cell]


Record 2
# SrMgCd2Ir

A relaxed SrMgCd2Ir crystal (PBE, Alexandria).

Results
The calculation puts the calculated formation energy at -0.1508 eV/atom.

Unit cell a=5.268 b=5.268 c=4.967 alpha=90.00 beta=90.00 gamma=90.00
Space group P4/mmm (No. 123)
Inequivalent atoms, fractional coordinates:
Sr 0.000 0.000 0.000 [1 per cell]
Mg 0.500 0.500 0.000 [1 per cell]
Cd 0.000 0.500 0.500 [2 per cell]
Ir 0.500 0.500 0.500 [1 per cell]


Number 1: size of the total moment 20.281 μB per cell. Number 2: size of the total moment 0.000 μB per cell.